## MnBiSe2O (PBE with a Hubbard U)

Data for crystalline MnBiSe2O at its relaxed geometry.

uncorrected energy: -25.4 eV/cell

abc: 5.1725 5.1725 3.7502
angles: 90.00 90.00 90.00
Fractional positions:
Mn: 0.0000 0.0000 0.0000
Bi: 0.5000 0.5000 0.5000
Se: 0.0000 0.5000 0.0000
Se: 0.5000 0.0000 0.0000
O: 0.0000 0.0000 0.5000